## ScMn (GGA-PBE)

Data for crystalline ScMn at its relaxed geometry.

Lattice parameters (Å, degrees): 3.0554 3.0554 8.9784 90.00 90.00 120.00
Last column: nearest neighbours and their distance in Å.
Fractional positions:
Sc1 0.0000 0.0000 0.0000  6 Mn 2.85, 6 Sc 3.06
Sc2 0.0000 0.0000 0.5000  6 Mn 2.85, 6 Sc 3.06
Mn1 0.3333 0.6667 0.2500  6 Sc 2.85, 6 Mn 3.06
Mn2 0.6667 0.3333 0.7500  6 Sc 2.85, 6 Mn 3.06

Summary:
Symmetry: No. 194
Formation energy from the elements in eV per atom: 0.26


## NiBiP3 (GGA-PBE)

Data for crystalline NiBiP3 at its relaxed geometry.

Lattice parameters (Å, degrees): 3.2242 5.7429 6.2952 101.54 104.54 106.21
Last column: nearest neighbours and their distance in Å.
Fractional positions:
Ni1 0.9501 0.0301 0.8412  4 P 2.20-2.37
P1 0.2360 0.7815 0.6572  2 Ni 2.20, 1 P 2.28
P2 0.6443 0.3584 0.9070  2 P 2.28, 2 Ni 2.37
P3 0.0189 0.3642 0.6450  3 P 2.28, 1 Ni 2.47
Bi1 0.0224 0.8466 0.2073  1 Ni 2.70, 2 P 2.78-2.87

Summary:
Symmetry: No. 1
Formation energy from the elements in eV per atom: 0.04
Energy relative to the lowest polymorph listed for this composition in eV per atom: 0.122


## MgZnFe2C (GGA-PBE)

Data for crystalline MgZnFe2C at its relaxed geometry.

Lattice parameters (Å, degrees): 3.8102 4.1073 3.8102 90.00 90.00 90.00
Last column: nearest neighbours and their distance in Å.
Fractional positions:
C1 0.0000 0.0000 0.0000  4 Fe 1.91, 2 Zn 2.05
Mg1 0.5000 0.5000 0.5000  4 Zn 2.69, 8 Fe 2.80
Fe1 0.5000 0.0000 0.0000  2 C 1.91
Fe2 0.0000 0.0000 0.5000  2 C 1.91
Zn1 0.0000 0.5000 0.0000  2 C 2.05

Summary:
Symmetry: No. 123
Formation energy from the elements in eV per atom: 0.20
Energy relative to the lowest polymorph listed for this composition in eV per atom: 0.081


Number 1: total magnetization 5.1 μB/cell. Number 2: total magnetization 0.0 μB/cell. Number 3: total magnetization 1.9 μB/cell.